Cs2PbCl2F4, optimized geometry, DFT PBE; ΔE_f (raw) = -2068 meV per atom; E_tot = -35.20 eV for the cell shown; DOS at the Fermi energy = 0.00 states/eV per atom
1.0
-3.653 3.653 4.477
3.653 -3.653 4.477
3.653 3.653 -4.477
Cs Pb Cl F
2 1 2 4
direct
0.250 0.750 0.500
0.750 0.250 0.500
0.000 0.000 0.000
0.280 0.280 0.000
0.720 0.720 0.000
0.206 0.206 0.413
0.206 0.794 0.000
0.794 0.206 0.000
0.794 0.794 0.587

---

Ca2ZrAl2, optimized geometry, DFT PBE; formation enthalpy at 0 K = 8 meV/atom; E_tot = -39.99 eV for the cell shown; DOS at the Fermi energy = 1.22 states/eV per atom
1.0
7.396 0.000 0.000
0.000 7.396 0.000
0.000 0.000 4.883
Ca Zr Al
4 2 4
direct
0.175 0.325 0.000
0.325 0.825 0.000
0.675 0.175 0.000
0.825 0.675 0.000
0.000 0.000 0.500
0.500 0.500 0.500
0.129 0.629 0.500
0.371 0.129 0.500
0.629 0.871 0.500
0.871 0.371 0.500

---

DyPd6Au8, optimized geometry, DFT PBE; formation enthalpy at 0 K = -196 meV/atom; E_tot = -64.92 eV for the cell shown; DOS at the Fermi energy = 0.26 states/eV per atom
1.0
3.580 2.067 6.028
-3.580 2.067 6.028
0.000 -4.134 6.028
Dy Pd Au
1 6 8
direct
0.000 0.000 0.000
0.053 0.279 0.537
0.279 0.537 0.053
0.463 0.947 0.721
0.537 0.053 0.279
0.721 0.463 0.947
0.947 0.721 0.463
0.124 0.818 0.655
0.182 0.345 0.876
0.345 0.876 0.182
0.413 0.413 0.413
0.587 0.587 0.587
0.655 0.124 0.818
0.818 0.655 0.124
0.876 0.182 0.345

---

Na2Cu2OsO6, optimized geometry, DFT PBE; ΔE_f (raw) = -960 meV per atom; E_tot = -62.37 eV for the cell shown; DOS at the Fermi energy = 0.86 states/eV per atom
1.0
5.531 0.000 0.000
-2.765 4.790 0.000
0.000 0.000 6.108
Na Cu Os O
2 2 1 6
direct
0.333 0.667 0.311
0.667 0.333 0.689
0.333 0.667 0.816
0.667 0.333 0.184
0.000 0.000 0.000
0.040 0.298 0.818
0.258 0.960 0.818
0.298 0.258 0.182
0.702 0.742 0.818
0.742 0.040 0.182
0.960 0.702 0.182

---

SmThTeN2, optimized geometry, DFT PBE; ΔE_f (raw) = -1407 meV per atom; E_tot = -38.97 eV for the cell shown; DOS at the Fermi energy = 0.90 states/eV per atom
1.0
-2.039 2.039 6.776
2.039 -2.039 6.776
2.039 2.039 -6.776
Sm Th Te N
1 1 1 2
direct
0.000 0.000 0.000
0.335 0.335 0.000
0.668 0.668 0.000
0.414 0.914 0.500
0.914 0.414 0.500

---

Mg6MnSn, optimized geometry, DFT PBE; formation enthalpy at 0 K = 46 meV/atom; E_tot = -22.37 eV for the cell shown; DOS at the Fermi energy = 0.56 states/eV per atom
1.0
4.961 0.000 0.000
0.000 3.161 5.423
0.000 -3.161 5.423
Mg Mn Sn
6 1 1
direct
0.000 0.000 0.000
0.000 0.009 0.496
0.000 0.496 0.009
0.500 0.165 0.165
0.500 0.175 0.663
0.500 0.663 0.175
0.000 0.501 0.501
0.500 0.661 0.661

---

VFe, optimized geometry, DFT PBE; formation enthalpy at 0 K = 349 meV/atom; E_tot = -16.88 eV for the cell shown; DOS at the Fermi energy = 1.20 states/eV per atom
1.0
-1.324 2.104 2.211
1.324 -2.104 2.211
1.324 2.104 -2.211
V Fe
1 1
direct
0.000 0.000 0.000
0.500 0.500 0.000

---

InAgPd2, optimized geometry, DFT PBE; formation enthalpy at 0 K = -62 meV/atom; E_tot = -32.44 eV for the cell shown; DOS at the Fermi energy = 0.30 states/eV per atom
1.0
-3.673 3.673 2.804
3.673 -3.673 2.804
3.673 3.673 -2.804
In Ag Pd
2 2 4
direct
0.000 0.000 0.000
0.750 0.250 0.500
0.250 0.750 0.500
0.500 0.500 0.000
0.118 0.625 0.993
0.375 0.368 0.493
0.632 0.125 0.007
0.875 0.882 0.507

---

DyHo4Rh5, optimized geometry, DFT PBE; formation enthalpy at 0 K = -893 meV/atom; E_tot = -68.60 eV for the cell shown; DOS at the Fermi energy = 0.61 states/eV per atom
1.0
3.380 0.000 0.000
0.000 3.380 0.000
0.000 0.000 17.395
Dy Ho Rh
1 4 5
direct
0.000 0.000 0.000
0.000 0.000 0.200
0.000 0.000 0.400
0.000 0.000 0.600
0.000 0.000 0.800
0.500 0.500 0.101
0.500 0.500 0.300
0.500 0.500 0.500
0.500 0.500 0.700
0.500 0.500 0.899

---

LiMgIn2S4, optimized geometry, DFT PBE; ΔE_f (raw) = -863 meV per atom; E_tot = -32.40 eV for the cell shown; DOS at the Fermi energy = 0.28 states/eV per atom
1.0
0.000 4.553 5.305
4.059 0.000 5.305
4.059 4.553 0.000
Li Mg In S
1 1 2 4
direct
0.000 0.000 0.000
0.499 0.499 0.501
0.257 0.257 0.243
0.757 0.757 0.743
0.118 0.619 0.882
0.361 0.851 0.149
0.619 0.118 0.381
0.851 0.361 0.639

---

K2TiCuIr, optimized geometry, DFT PBE; formation enthalpy at 0 K = 871 meV/atom; E_tot = -18.69 eV for the cell shown; DOS at the Fermi energy = 0.91 states/eV per atom
1.0
6.328 0.000 0.000
0.000 6.328 0.000
0.000 0.000 4.612
K Ti Cu Ir
2 1 1 1
direct
0.000 0.500 0.000
0.500 0.000 0.000
0.000 0.000 0.500
0.500 0.500 0.500
0.000 0.000 0.000

---

ReBOs2, optimized geometry, DFT PBE; formation enthalpy at 0 K = 830 meV/atom; E_tot = -76.53 eV for the cell shown; DOS at the Fermi energy = 0.66 states/eV per atom
1.0
-2.538 2.538 5.267
2.538 -2.538 5.267
2.538 2.538 -5.267
Re B Os
2 2 4
direct
0.000 0.000 0.000
0.750 0.250 0.500
0.250 0.750 0.500
0.500 0.500 0.000
0.187 0.625 0.062
0.375 0.437 0.562
0.563 0.125 0.938
0.875 0.813 0.438

---

TeHPd2, optimized geometry, DFT PBE; E_tot = -70.32 eV for the cell shown; DOS at the Fermi energy = 0.26 states/eV per atom
1.0
6.168 0.000 0.000
0.000 3.772 0.000
0.000 0.000 10.595
Te H Pd
4 4 8
direct
0.031 0.250 0.142
0.469 0.750 0.642
0.531 0.250 0.358
0.969 0.750 0.858
0.105 0.750 0.461
0.395 0.250 0.961
0.605 0.750 0.039
0.895 0.250 0.539
0.187 0.250 0.520
0.193 0.750 0.297
0.307 0.250 0.797
0.313 0.750 0.020
0.687 0.250 0.980
0.693 0.750 0.203
0.807 0.250 0.703
0.813 0.750 0.480

---

FeTcIr2Se, optimized geometry, DFT PBE; ΔE_f (raw) = 1507 meV per atom; E_tot = -32.50 eV for the cell shown; DOS at the Fermi energy = 1.86 states/eV per atom
1.0
4.435 0.000 0.000
0.000 4.435 0.000
0.000 0.000 4.394
Fe Tc Ir Se
1 1 2 1
direct
0.000 0.000 0.000
0.500 0.500 0.500
0.000 0.500 0.000
0.500 0.000 0.000
0.000 0.000 0.500

---

CaPt2Se, optimized geometry, DFT PBE; ΔE_f (raw) = -698 meV per atom; E_tot = -20.36 eV for the cell shown; DOS at the Fermi energy = 0.21 states/eV per atom
1.0
4.747 -1.900 0.000
4.747 1.900 0.000
-2.015 0.000 4.720
Ca Pt Se
1 2 1
direct
0.000 0.000 0.000
0.491 0.491 0.441
0.790 0.790 0.400
0.191 0.191 0.628

---

LiCa12Cd6, optimized geometry, DFT PBE; formation enthalpy at 0 K = -160 meV/atom; E_tot = -34.47 eV for the cell shown; DOS at the Fermi energy = 0.97 states/eV per atom
1.0
5.867 3.387 5.069
-5.867 3.387 5.069
0.000 -6.775 5.069
Li Ca Cd
1 12 6
direct
0.000 0.000 0.000
0.003 0.362 0.148
0.148 0.003 0.362
0.200 0.565 0.453
0.362 0.148 0.003
0.435 0.547 0.800
0.453 0.200 0.565
0.547 0.800 0.435
0.565 0.453 0.200
0.638 0.852 0.997
0.800 0.435 0.547
0.852 0.997 0.638
0.997 0.638 0.852
0.102 0.273 0.743
0.257 0.898 0.727
0.273 0.743 0.102
0.727 0.257 0.898
0.743 0.102 0.273
0.898 0.727 0.257

---

UPa3Tc4, optimized geometry, DFT PBE; formation enthalpy at 0 K = 16 meV/atom; E_tot = -81.11 eV for the cell shown; DOS at the Fermi energy = 1.72 states/eV per atom
1.0
-2.833 4.816 2.975
2.833 -4.816 2.975
2.833 4.816 -2.975
U Pa Tc
1 3 4
direct
0.000 0.000 0.000
0.119 0.358 0.761
0.211 0.711 0.500
0.597 0.358 0.239
0.107 0.860 0.247
0.612 0.860 0.753
0.622 0.368 0.746
0.622 0.876 0.254

---

Hf2ZnTe2, optimized geometry, DFT PBE; ΔE_f (raw) = -340 meV per atom; E_tot = -58.33 eV for the cell shown; DOS at the Fermi energy = 0.17 states/eV per atom
1.0
7.769 0.000 0.000
0.000 7.769 0.000
0.000 0.000 3.770
Hf Zn Te
4 2 4
direct
0.146 0.354 0.000
0.354 0.854 0.000
0.646 0.146 0.000
0.854 0.646 0.000
0.000 0.000 0.000
0.500 0.500 0.000
0.150 0.650 0.500
0.350 0.150 0.500
0.650 0.850 0.500
0.850 0.350 0.500

---

KMg2Cr, optimized geometry, DFT PBE; formation enthalpy at 0 K = 558 meV/atom; E_tot = -11.68 eV for the cell shown; DOS at the Fermi energy = 0.61 states/eV per atom
1.0
5.070 -1.617 0.000
5.070 1.617 0.000
-0.727 0.000 7.336
K Mg Cr
1 2 1
direct
0.000 0.000 0.000
0.234 0.234 0.656
0.493 0.493 0.469
0.760 0.760 0.336

---

SiMoP, optimized geometry, DFT PBE; ΔE_f (raw) = 223 meV per atom; E_tot = -20.99 eV for the cell shown; DOS at the Fermi energy = 0.38 states/eV per atom
1.0
0.000 2.262 6.044
1.628 0.000 6.044
1.628 2.262 0.000
Si Mo P
1 1 1
direct
0.000 0.000 0.000
0.666 0.666 0.334
0.320 0.320 0.680